(1)
! P2HRh GGA-PBE relaxed; values from VASP
! offset from the most stable computed form: 0 meV per atom
&SYSTEM
  ibrav = 0, nat = 4, ntyp = 3
/
ATOMIC_SPECIES
Rh 102.91 Rh.upf
P 30.97 P.upf
H 1.01 H.upf
CELL_PARAMETERS angstrom
3.913 -1.007 0.184
1.348 -2.331 3.018
1.146 -3.807 -0.743
ATOMIC_POSITIONS angstrom
Rh 3.204 -3.573 1.230
P 4.805 -5.359 1.844
P 1.602 -1.786 0.615
H 0.000 0.000 0.000

=====

(2)
! PHRh GGA-PBE relaxed; values from VASP
! offset from the most stable computed form: 42 meV per atom
&SYSTEM
  ibrav = 0, nat = 9, ntyp = 3
/
ATOMIC_SPECIES
H 1.01 H.upf
Rh 102.91 Rh.upf
P 30.97 P.upf
CELL_PARAMETERS angstrom
-1.769 1.194 -2.425
0.321 -3.196 0.344
-9.453 -0.219 6.789
ATOMIC_POSITIONS angstrom
H -5.323 -0.123 3.823
H -9.546 -0.466 4.584
Rh -6.777 -0.402 2.595
P -4.769 -0.355 1.152
P -0.545 -0.013 0.392
Rh -9.231 -1.938 5.781
H -2.547 -1.783 0.981
Rh -2.554 -0.059 1.834
P -7.223 -1.891 4.339

=====

(3)
! PHRh2 GGA-PBE relaxed; values from VASP
! offset from the most stable computed form: 80 meV per atom
&SYSTEM
  ibrav = 0, nat = 4, ntyp = 3
/
ATOMIC_SPECIES
P 30.97 P.upf
Rh 102.91 Rh.upf
H 1.01 H.upf
CELL_PARAMETERS angstrom
-0.583 -2.924 1.989
2.768 -1.808 1.382
0.562 0.770 4.525
ATOMIC_POSITIONS angstrom
P 0.000 0.000 0.000
Rh 0.686 -0.981 1.988
Rh 2.062 -2.981 5.908
H 1.374 -1.981 3.948

=====

(4)
! PHRh GGA-PBE relaxed; values from VASP
! offset from the most stable computed form: 2 meV per atom
&SYSTEM
  ibrav = 0, nat = 6, ntyp = 3
/
ATOMIC_SPECIES
P 30.97 P.upf
Rh 102.91 Rh.upf
H 1.01 H.upf
CELL_PARAMETERS angstrom
-2.873 -0.934 0.437
1.027 -2.486 1.438
-0.237 4.236 7.491
ATOMIC_POSITIONS angstrom
P -1.526 1.132 3.046
Rh 0.400 0.786 4.307
H -1.485 0.392 1.737
Rh -1.669 3.680 7.552
P 0.305 2.473 7.292
H 0.347 1.734 5.984